Record 1
This record from Alexandria via LeMat-Bulk describes a geometry-optimized Al4FeCo2 structure. The functional is PBE.

Summary:
- DFT total energy (eV per atom) = -5.81
- theoretical density (Mg/m³) = 5.10
- formation enthalpy at 0 K (eV per atom) = -0.44
- space-group type = I4/mmm (139)
- Fermi-level density of states (states/eV/f.u.) = 2.9

Structure (CIF):
```
data_Al4FeCo2
_chemical_formula_sum 'Al8 Fe2 Co4'
_cell_length_a 5.6627
_cell_length_b 5.6627
_cell_length_c 5.7148
_cell_angle_alpha 90.00
_cell_angle_beta 90.00
_cell_angle_gamma 90.00
_space_group_name_H-M_alt 'P 1'
_space_group_IT_number 1
_space_group_name_Hall 'P 1'
loop_
_atom_site_label
_atom_site_fract_x
_atom_site_fract_y
_atom_site_fract_z
_atom_site_occupancy
Al1 0.2500 0.2500 0.2500 1
Al2 0.2500 0.2500 0.7500 1
Al3 0.2500 0.7500 0.2500 1
Al4 0.2500 0.7500 0.7500 1
Al5 0.7500 0.2500 0.2500 1
Al6 0.7500 0.2500 0.7500 1
Al7 0.7500 0.7500 0.2500 1
Al8 0.7500 0.7500 0.7500 1
Fe1 0.0000 0.0000 0.0000 1
Fe2 0.5000 0.5000 0.5000 1
Co1 0.0000 0.5000 0.0000 1
Co2 0.0000 0.5000 0.5000 1
Co3 0.5000 0.0000 0.0000 1
Co4 0.5000 0.0000 0.5000 1
```



Record 2
This record from Alexandria via LeMat-Bulk describes a geometry-optimized Tm2ZrIn structure. The functional is PBE.

Summary:
- DFT total energy (eV per atom) = -5.26
- energy above the lowest structure with this stoichiometry (meV per atom) = 9.0
- theoretical density (Mg/m³) = 8.94
- formation enthalpy at 0 K (eV per atom) = -0.20
- space-group type = P4/mmm (123)
- Fermi-level density of states (states/eV/f.u.) = 4.2

Structure (CIF):
```
data_Tm2ZrIn
_chemical_formula_sum 'Tm2 Zr1 In1'
_cell_length_a 4.6595
_cell_length_b 4.6595
_cell_length_c 4.6532
_cell_angle_alpha 90.00
_cell_angle_beta 90.00
_cell_angle_gamma 90.00
_space_group_name_H-M_alt 'P 1'
_space_group_IT_number 1
_space_group_name_Hall 'P 1'
loop_
_atom_site_label
_atom_site_fract_x
_atom_site_fract_y
_atom_site_fract_z
_atom_site_occupancy
Tm1 0.0000 0.5000 0.0000 1
Tm2 0.5000 0.0000 0.0000 1
Zr1 0.0000 0.0000 0.5000 1
In1 0.5000 0.5000 0.5000 1
```



Record 3
This record from Alexandria via LeMat-Bulk describes a geometry-optimized Ba4CdInHg2 structure. The functional is PBE.

Summary:
- DFT total energy (eV per atom) = -1.94
- theoretical density (Mg/m³) = 6.40
- formation enthalpy at 0 K (eV per atom) = -0.44
- space-group type = R-3m (166)
- Fermi-level density of states (states/eV/f.u.) = 6.5

Structure (CIF):
```
data_Ba4CdInHg2
_chemical_formula_sum 'Ba4 Cd1 In1 Hg2'
_cell_length_a 10.3974
_cell_length_b 10.3974
_cell_length_c 10.3974
_cell_angle_alpha 33.54
_cell_angle_beta 33.54
_cell_angle_gamma 33.54
_space_group_name_H-M_alt 'P 1'
_space_group_IT_number 1
_space_group_name_Hall 'P 1'
loop_
_atom_site_label
_atom_site_fract_x
_atom_site_fract_y
_atom_site_fract_z
_atom_site_occupancy
Ba1 0.1244 0.1244 0.1244 1
Ba2 0.3747 0.3747 0.3747 1
Ba3 0.6253 0.6253 0.6253 1
Ba4 0.8756 0.8756 0.8756 1
Cd1 0.5000 0.5000 0.5000 1
In1 0.0000 0.0000 0.0000 1
Hg1 0.2503 0.2503 0.2503 1
Hg2 0.7497 0.7497 0.7497 1
```